(1)
First-principles (PBE) data for crystalline NpSnAuN at its relaxed geometry, as listed in Alexandria.

a b c (Å): 3.972 3.972 10.045
angles (deg): 90.00 90.00 90.00
Space group P4/nmm (No. 129, origin choice 2)
Inequivalent atoms, fractional coordinates:
Np 0.250 0.250 0.106
Sn 0.250 0.250 0.708
Au 0.250 0.750 0.500
N 0.250 0.750 0.000

Summary:
Density (g/cm3): 11.87
Final energy (eV per atom): -7.704

(2)
First-principles (PBE) data for crystalline AsRh3 at its relaxed geometry, as listed in Alexandria.

a b c (Å): 4.484 5.511 4.688
angles (deg): 90.00 90.00 90.00
Space group Pmmn (No. 59, origin choice 2)
Inequivalent atoms, fractional coordinates:
As 0.250 0.250 0.202
Rh 0.250 0.002 0.693
Rh 0.250 0.750 0.196

Summary:
Density (g/cm3): 11.00
Formation energy (eV per atom): -0.0601
Final energy (eV per atom): -6.736

(3)
First-principles (PBE) data for crystalline La2MgBiPt at its relaxed geometry, as listed in Alexandria.

a b c (Å): 5.615 5.615 5.064
angles (deg): 90.00 90.00 90.00
Space group P4/mmm (No. 123)
Inequivalent atoms, fractional coordinates:
La 0.000 0.500 0.000
Mg 0.000 0.000 0.500
Bi 0.500 0.500 0.500
Pt 0.000 0.000 0.000

Summary:
Density (g/cm3): 7.34
Formation energy (eV per atom): -0.7708
Final energy (eV per atom): -5.045